# LiAu2Br5

A geometry-optimized LiAu2Br5 structure (GGA-PBE, the Alexandria database).

a b c (Å): 6.972 6.978 7.555
angles (deg): 99.50 115.47 99.73
Element x y z (fractional)
Li (0.000, 0.000, 0.000)
Au (0.658, 0.168, 0.258)
Au (0.890, 0.518, 0.967)
Br (0.037, 0.270, 0.818)
Br (0.357, 0.980, 0.291)
Br (0.747, 0.776, 0.110)
Br (0.824, 0.679, 0.687)
Br (0.987, 0.375, 0.270)

Values from the calculation:
- Crystal system: triclinic
- Density: 4.2 g/cm3
- Space group: P1, No. 1
- Final energy: -2.563 eV/atom

# SrMg3Br

A geometry-optimized SrMg3Br structure (GGA-PBE, the Alexandria database).

a b c (Å): 5.607 5.607 5.607
angles (deg): 90.00 90.00 90.00
Element x y z (fractional)
Sr (0.000, 0.000, 0.000)
Mg (0.000, 0.500, 0.500)
Mg (0.500, 0.000, 0.500)
Mg (0.500, 0.500, 0.000)
Br (0.500, 0.500, 0.500)

Values from the calculation:
- Crystal system: cubic
- Density: 2.3 g/cm3
- Space group: Pm-3m, No. 221
- Final energy: -1.555 eV/atom